No. 1
ScTcHg | PBE | relaxed

It has space group I4mm (No. 107), with a = 3.059 Å, b = 3.059 Å, c = 12.244 Å, α = 90.00°, β = 90.00° and γ = 90.00°. Symmetry generates all atoms from Sc at (0.000, 0.000, 0.000), Tc at (0.000, 0.000, 0.351) and Hg at (0.000, 0.000, 0.688).

The formation energy comes out at 0.12 eV/atom. The total energy is -5.5434 eV/atom. The value obtained for the energy above the most stable polymorph in this dataset is 55 meV per atom. The crystal system is tetragonal.

No. 2
ScTcHg2 | PBE | relaxed

It has space group Cmm2 (No. 35), with a = 3.556 Å, b = 4.863 Å, c = 9.282 Å, α = 90.00°, β = 90.00° and γ = 90.00°. Symmetry generates all atoms from Sc at (0.000, 0.000, 0.000), Tc at (0.000, 0.500, 0.209), Hg at (0.000, 0.000, 0.452) and Hg at (0.000, 0.500, 0.734).

The formation energy comes out at 0.14 eV/atom. The total energy is -4.1855 eV/atom. The value obtained for the energy above the most stable polymorph in this dataset is 99 meV per atom. The crystal system is orthorhombic.

No. 3
ScTcHg | PBE | relaxed

It has space group P-6m2 (No. 187), with a = 4.6701 Å, b = 4.6701 Å, c = 2.9233 Å, α = 90.00°, β = 90.00° and γ = 120.00°. Symmetry generates all atoms from Sc at (0.0000, 0.0000, 0.0000), Tc at (0.3333, 0.6667, 0.0000) and Hg at (0.6667, 0.3333, 0.5000).

The formation energy comes out at 0.16 eV/atom. The total energy is -5.5054 eV/atom. The value obtained for the energy above the most stable polymorph in this dataset is 93 meV per atom. The crystal system is hexagonal.

No. 4
ScTcHg | PBE | relaxed

It has space group Fmm2 (No. 42), with a = 3.536 Å, b = 4.753 Å, c = 13.458 Å, α = 90.00°, β = 90.00° and γ = 90.00°. Symmetry generates all atoms from Sc at (0.000, 0.000, 0.000), Tc at (0.000, 0.000, 0.646) and Hg at (0.000, 0.000, 0.316).

The formation energy comes out at 0.13 eV/atom. The total energy is -5.5406 eV/atom. The value obtained for the energy above the most stable polymorph in this dataset is 58 meV per atom. The crystal system is orthorhombic.